(1)
The following is a PBE calculation of a relaxed structure of ScTe2Pt, from Alexandria via LeMat-Bulk.

Structure (POSCAR):
```
ScTe2Pt
1.0
4.819 0.000 0.000
0.000 4.819 0.000
0.000 0.000 3.681
Sc Te Pt
1 2 1
direct
0.000 0.000 0.000
0.000 0.500 0.500
0.500 0.000 0.500
0.500 0.500 0.000
```

Its space group is No. 123. The value obtained for the total energy is -20.90 eV/cell.

(2)
The following is a PBE calculation of a relaxed structure of Sm2Er3Al2, from Alexandria via LeMat-Bulk.

Structure (POSCAR):
```
Sm2Er3Al2
1.0
4.580 -2.647 0.000
4.580 2.647 0.000
-3.062 0.000 7.856
Sm Er Al
2 3 2
direct
0.085 0.085 0.254
0.915 0.915 0.746
0.348 0.348 0.045
0.500 0.500 0.500
0.652 0.652 0.955
0.219 0.219 0.659
0.781 0.781 0.341
```

Its space group is No. 12. The formation energy comes out at -19 kJ/mol of atoms.

(3)
The following is a PBE calculation of a relaxed structure of ReOs2Se, from Alexandria via LeMat-Bulk.

Structure (POSCAR):
```
ReOs2Se
1.0
-1.464 2.232 4.547
1.464 -2.232 4.547
1.464 2.232 -4.547
Re Os Se
1 2 1
direct
0.000 0.000 0.000
0.453 0.453 0.000
0.732 0.232 0.500
0.228 0.728 0.500
```

Its space group is No. 44. The value obtained for the total energy is -35.88 eV/cell.

(4)
The following is a PBE calculation of a relaxed structure of Er6Tl2Cd, from Alexandria via LeMat-Bulk.

Structure (POSCAR):
```
Er6Tl2Cd
1.0
-2.565 3.617 7.699
2.565 -3.617 7.699
2.565 3.617 -7.699
Er Tl Cd
6 2 1
direct
0.082 0.335 0.747
0.244 0.000 0.244
0.412 0.665 0.747
0.588 0.335 0.253
0.756 0.000 0.756
0.918 0.665 0.253
0.333 0.833 0.500
0.667 0.167 0.500
0.000 0.500 0.500
```

Its space group is No. 71. The formation energy comes out at 2 kJ/mol of atoms.

(5)
The following is a PBE calculation of a relaxed structure of K3Tb3CrS8, from Alexandria via LeMat-Bulk.

Structure (POSCAR):
```
K3Tb3CrS8
1.0
3.917 2.261 7.536
-3.917 2.261 7.536
0.000 -4.523 7.536
K Tb Cr S
3 3 1 8
direct
0.000 0.500 0.500
0.500 0.000 0.500
0.500 0.500 0.000
0.000 0.000 0.500
0.000 0.500 0.000
0.500 0.000 0.000
0.500 0.500 0.500
0.235 0.235 0.235
0.262 0.712 0.712
0.288 0.288 0.738
0.288 0.738 0.288
0.712 0.262 0.712
0.712 0.712 0.262
0.738 0.288 0.288
0.765 0.765 0.765
```

Its space group is No. 166. The value obtained for the total energy is -82.93 eV/cell.

(6)
The following is a PBE calculation of a relaxed structure of LiSmDySe3, from Alexandria via LeMat-Bulk.

Structure (POSCAR):
```
LiSmDySe3
1.0
8.415 0.000 0.000
0.000 3.994 0.000
-1.957 0.000 8.586
Li Sm Dy Se
2 2 2 6
direct
0.086 0.250 0.084
0.914 0.750 0.916
0.188 0.250 0.725
0.812 0.750 0.275
0.335 0.750 0.336
0.665 0.250 0.664
0.094 0.250 0.371
0.223 0.750 0.997
0.428 0.750 0.674
0.572 0.250 0.326
0.777 0.250 0.003
0.906 0.750 0.629
```

Its space group is No. 11. The value obtained for the total energy is -63.28 eV/cell.

(7)
The following is a PBE calculation of a relaxed structure of MnBeHg2, from Alexandria via LeMat-Bulk.

Structure (POSCAR):
```
MnBeHg2
1.0
-2.027 2.027 4.179
2.027 -2.027 4.179
2.027 2.027 -4.179
Mn Be Hg
1 1 2
direct
0.000 0.000 0.000
0.250 0.750 0.500
0.500 0.500 0.000
0.750 0.250 0.500
```

Its space group is No. 119. The formation energy comes out at 50 kJ/mol of atoms.

(8)
The following is a PBE calculation of a relaxed structure of Ce2ErAl, from Alexandria via LeMat-Bulk.

Structure (POSCAR):
```
Ce2ErAl
1.0
3.935 0.000 0.000
0.000 3.935 0.000
0.000 0.000 7.068
Ce Er Al
2 1 1
direct
0.000 0.000 0.199
0.000 0.000 0.801
0.500 0.500 0.500
0.500 0.500 0.000
```

Its space group is No. 123. The formation energy comes out at -6 kJ/mol of atoms.

no.,mass density (kg/m3)
1,9621
2,7467
3,18040
4,8862
5,3742
6,6406
7,11248
8,7199